Record 1
A plane-wave DFT calculation with PBE was carried out for KScPb2I8 after structural relaxation.

Calculated values
formation energy (no corrections) = -89.6 kJ/mol of atoms
ρ = 4682 kg/m³
DOS(E_F) = 0.0 states/eV/f.u.

```
data_KScPb2I8
_cell_length_a 7.242
_cell_length_b 7.688
_cell_length_c 9.644
_cell_angle_alpha 89.99
_cell_angle_beta 89.93
_cell_angle_gamma 88.57
_symmetry_space_group_name_H-M 'P -1'
_symmetry_Int_Tables_number 2
loop_
_symmetry_equiv_pos_as_xyz
'x,y,z'
'-x,-y,-z'
loop_
_atom_site_label
_atom_site_type_symbol
_atom_site_fract_x
_atom_site_fract_y
_atom_site_fract_z
K1 K 0.000 0.000 0.000
Sc1 Sc 0.000 0.000 0.500
Pb1 Pb 0.500 0.500 0.255
I1 I 0.226 0.318 0.500
I2 I 0.238 0.851 0.712
I3 I 0.238 0.852 0.287
I4 I 0.268 0.363 0.000
```

Record 2
A plane-wave DFT calculation with PBE was carried out for Cs2FeOsBr after structural relaxation.

Calculated values
formation energy (no corrections) = 124.1 kJ/mol of atoms
ρ = 4680 kg/m³
DOS(E_F) = 4.4 states/eV/f.u.

```
data_Cs2FeOsBr
_cell_length_a 6.819
_cell_length_b 6.819
_cell_length_c 4.516
_cell_angle_alpha 90.00
_cell_angle_beta 90.00
_cell_angle_gamma 90.00
_symmetry_space_group_name_H-M 'P 4/m m m'
_symmetry_Int_Tables_number 123
_symmetry_space_group_name_Hall '-P 4 2'
loop_
_atom_site_label
_atom_site_type_symbol
_atom_site_fract_x
_atom_site_fract_y
_atom_site_fract_z
Cs1 Cs 0.000 0.500 0.000
Fe1 Fe 0.000 0.000 0.000
Os1 Os 0.500 0.500 0.500
Br1 Br 0.000 0.000 0.500
```

Record 3
A plane-wave DFT calculation with PBE was carried out for AsPbAu2 after structural relaxation.

Calculated values
energy relative to the elements = 118 meV/atom
ρ = 12064 kg/m³
DOS(E_F) = 1.9 states/eV/f.u.

```
data_AsPbAu2
_cell_length_a 5.816
_cell_length_b 8.584
_cell_length_c 4.694
_cell_angle_alpha 90.00
_cell_angle_beta 127.41
_cell_angle_gamma 90.00
_symmetry_space_group_name_H-M 'C 1 2/m 1'
_symmetry_Int_Tables_number 12
loop_
_symmetry_equiv_pos_as_xyz
'x,y,z'
'-x,-y,-z'
'-x,y,-z'
'x,-y,z'
'x+1/2,y+1/2,z'
'-x+1/2,-y+1/2,-z'
'-x+1/2,y+1/2,-z'
'x+1/2,-y+1/2,z'
loop_
_atom_site_label
_atom_site_type_symbol
_atom_site_fract_x
_atom_site_fract_y
_atom_site_fract_z
As1 As 0.000 0.000 0.000
Pb1 Pb 0.000 0.500 0.000
Au1 Au 0.250 0.250 0.500
```